(1)
ThI after structural relaxation, computed with GGA-PBE.

Unit cell a=6.310 b=6.310 c=6.310 alpha=90.00 beta=90.00 gamma=90.00
Fractional positions:
Th1 0.000 0.000 0.000
Th2 0.000 0.500 0.500
Th3 0.500 0.000 0.500
Th4 0.500 0.500 0.000
I1 0.000 0.000 0.500
I2 0.000 0.500 0.000
I3 0.500 0.000 0.000
I4 0.500 0.500 0.500

Summary:
As for the crystal system: cubic. Its electronic total energy is -9.3 eV/f.u. For the magnetization, the calculation gives 0.001 μB per formula unit. The volume comes out at 251.3 Å³ per cell.

(2)
ThMg after structural relaxation, computed with GGA-PBE.

Unit cell a=5.564 b=6.958 c=11.803 alpha=90.00 beta=90.00 gamma=90.00
Fractional positions:
Th1 0.250 0.000 0.089
Th2 0.250 0.250 0.337
Th3 0.250 0.250 0.821
Th4 0.250 0.500 0.089
Th5 0.750 0.000 0.911
Th6 0.750 0.500 0.911
Th7 0.750 0.750 0.179
Th8 0.750 0.750 0.663
Mg1 0.250 0.000 0.581
Mg2 0.250 0.500 0.581
Mg3 0.250 0.750 0.358
Mg4 0.250 0.750 0.824
Mg5 0.750 0.000 0.419
Mg6 0.750 0.250 0.176
Mg7 0.750 0.250 0.642
Mg8 0.750 0.500 0.419

Summary:
As for the crystal system: orthorhombic. Its electronic total energy is -8.7 eV/f.u. For the magnetization, the calculation gives 0.002 μB per formula unit. The volume comes out at 456.9 Å³ per cell.

(3)
TbEr2Zn3AgAu2 after structural relaxation, computed with GGA-PBE.

Unit cell a=3.808 b=7.533 c=7.533 alpha=120.22 beta=90.00 gamma=90.00
Fractional positions:
Tb1 0.000 0.000 0.000
Er1 0.000 0.406 0.811
Er2 0.000 0.811 0.406
Zn1 0.500 0.145 0.407
Zn2 0.500 0.407 0.145
Zn3 0.500 0.665 0.665
Ag1 0.000 0.407 0.407
Au1 0.500 0.073 0.736
Au2 0.500 0.736 0.073

Summary:
As for the crystal system: orthorhombic. Its electronic total energy is -32.2 eV/f.u. For the magnetization, the calculation gives 0.015 μB per formula unit. The volume comes out at 186.7 Å³ per cell.